Model one:
Compound: NdSm3Au2
Source: Alexandria via LeMat-Bulk
Functional: PBE-GGA
Structure: optimized geometry

Computed properties:
As for the total magnetic moment: 0.00 μB/f.u.

abc: 8.540 8.540 8.776
angles: 113.35 113.35 36.21
Fractional positions:
Nd 0.134 0.134 0.203
Nd 0.866 0.866 0.797
Sm 0.062 0.062 0.729
Sm 0.306 0.306 0.994
Sm 0.377 0.377 0.485
Sm 0.623 0.623 0.515
Sm 0.694 0.694 0.006
Sm 0.938 0.938 0.271
Au 0.219 0.219 0.612
Au 0.496 0.496 0.837
Au 0.504 0.504 0.163
Au 0.781 0.781 0.388

Model two:
Compound: NdSm3Au2
Source: Alexandria via LeMat-Bulk
Functional: PBE-GGA
Structure: optimized geometry

Computed properties:
As for the total magnetic moment: 0.00 μB/f.u.

abc: 5.085 9.200 7.270
angles: 90.00 90.00 90.00
Fractional positions:
Nd 0.000 0.074 0.000
Nd 0.000 0.926 0.500
Sm 0.000 0.335 0.643
Sm 0.000 0.665 0.143
Sm 0.500 0.166 0.340
Sm 0.500 0.427 0.983
Sm 0.500 0.573 0.483
Sm 0.500 0.834 0.840
Au 0.000 0.348 0.235
Au 0.000 0.652 0.735
Au 0.500 0.155 0.748
Au 0.500 0.845 0.248

If you had to name the least stable structure above, which would it be? It would be model one.